No. 1
18
Lattice="-3.418 4.527 5.658 3.418 -4.527 5.658 3.418 4.527 -5.658" Properties=species:S:1:pos:R:3 comment="PBE SrAlZn6Cu, optimized geometry" delta_e_f_ev_per_atom=0.06 vol_a3_per_cell=350.20 sg="No. 74" pbc="T T T"
Sr 0.000 2.264 2.252
Sr 3.418 2.264 3.407
Al 1.709 2.264 -2.829
Al 1.709 -2.264 2.829
Zn 2.119 -0.094 1.342
Zn 4.717 -0.094 1.342
Zn 3.418 -2.264 4.735
Zn 3.418 2.264 -0.070
Zn 2.119 4.433 -1.342
Zn 1.299 -0.094 4.316
Zn 2.119 4.622 1.342
Zn 1.299 0.094 7.000
Zn 0.000 2.264 5.728
Zn 0.000 6.791 0.923
Zn -1.299 4.622 4.316
Zn 1.299 4.622 4.316
Cu 0.000 0.000 0.000
Cu 0.000 4.527 0.000

---

No. 2
12
Lattice="3.569 -3.596 0.000 3.569 3.596 0.000 0.000 0.000 6.954" Properties=species:S:1:pos:R:3 comment="PBE SmHo2TaO8, optimized geometry" vol_a3_per_cell=178.50 sg="No. 65" formation_energy_uncorrected_ev_per_atom=-2.8968 pbc="T T T"
Sm 0.000 0.000 0.000
Ho 3.569 0.000 1.774
Ho 3.569 0.000 5.179
Ta 0.000 0.000 3.477
O 3.569 2.252 1.989
O 3.569 2.252 4.965
O 2.010 0.000 3.477
O 2.252 0.000 0.000
O 4.887 0.000 0.000
O 5.129 0.000 3.477
O 3.569 -2.252 1.989
O 3.569 -2.252 4.965

---

No. 3
11
Lattice="1.793 1.035 32.076 -1.793 1.035 32.076 0.000 -2.070 32.076" Properties=species:S:1:pos:R:3 comment="PBE Sm6Tm3Th2, optimized geometry" delta_e_f_ev_per_atom=0.03 vol_a3_per_cell=357.15 sg="No. 166" pbc="T T T"
Sm 0.000 0.000 8.717
Sm 0.000 0.000 17.611
Sm 0.000 0.000 34.960
Sm 0.000 0.000 61.268
Sm 0.000 0.000 78.617
Sm 0.000 0.000 87.512
Tm 0.000 0.000 0.000
Tm 0.000 0.000 26.322
Tm 0.000 0.000 69.906
Th 0.000 0.000 43.684
Th 0.000 0.000 52.544

---

No. 4
10
Lattice="3.828 0.000 0.000 0.000 3.828 0.000 0.000 0.000 20.199" Properties=species:S:1:pos:R:3 comment="PBE Pr4TmTl5, optimized geometry" delta_e_f_ev_per_atom=-0.38 vol_a3_per_cell=295.98 sg="No. 123" pbc="T T T"
Pr 0.000 0.000 2.073
Pr 0.000 0.000 6.222
Pr 0.000 0.000 13.977
Pr 0.000 0.000 18.126
Tm 0.000 0.000 10.100
Tl 1.914 1.914 0.000
Tl 1.914 1.914 4.158
Tl 1.914 1.914 8.307
Tl 1.914 1.914 11.893
Tl 1.914 1.914 16.041

---

No. 5
30
Lattice="6.229 0.000 0.000 0.000 6.229 0.000 0.000 0.000 15.665" Properties=species:S:1:pos:R:3 comment="PBE Ca2Ga12Au, optimized geometry" delta_e_f_ev_per_atom=-0.29 vol_a3_per_cell=607.86 sg="No. 125" pbc="T T T"
Ca 1.557 4.672 3.881
Ca 1.557 4.672 11.784
Ca 4.672 1.557 3.881
Ca 4.672 1.557 11.784
Ga 0.000 6.229 1.476
Ga 6.229 0.000 14.189
Ga 6.229 3.114 1.476
Ga 0.000 3.115 14.189
Ga 0.501 3.616 6.758
Ga 0.501 5.728 8.906
Ga 1.557 1.557 2.946
Ga 1.557 1.557 5.452
Ga 1.557 1.557 10.213
Ga 1.557 1.557 12.719
Ga 2.613 3.616 8.906
Ga 2.613 5.728 6.758
Ga 3.115 0.000 1.476
Ga 3.114 6.229 14.189
Ga 3.114 3.115 1.476
Ga 3.115 3.114 14.189
Ga 3.616 0.501 8.906
Ga 3.616 2.613 6.758
Ga 4.672 4.672 2.946
Ga 4.672 4.672 5.452
Ga 4.672 4.672 10.213
Ga 4.672 4.672 12.719
Ga 5.728 0.501 6.758
Ga 5.728 2.613 8.906
Au 1.557 4.672 0.000
Au 4.672 1.557 0.000

---

Question: What is the formula in the third record?
Answer: Sm6Tm3Th2

---

Please write out number 3 again, unchanged.
11
Lattice="1.793 1.035 32.076 -1.793 1.035 32.076 0.000 -2.070 32.076" Properties=species:S:1:pos:R:3 comment="PBE Sm6Tm3Th2, optimized geometry" delta_e_f_ev_per_atom=0.03 vol_a3_per_cell=357.15 sg="No. 166" pbc="T T T"
Sm 0.000 0.000 8.717
Sm 0.000 0.000 17.611
Sm 0.000 0.000 34.960
Sm 0.000 0.000 61.268
Sm 0.000 0.000 78.617
Sm 0.000 0.000 87.512
Tm 0.000 0.000 0.000
Tm 0.000 0.000 26.322
Tm 0.000 0.000 69.906
Th 0.000 0.000 43.684
Th 0.000 0.000 52.544